Arrangement A

The following is a DFT calculation (GGA-PBE) of crystalline Th2Pt9Au at its relaxed geometry.

a b c (Å): 5.460 5.460 9.416
angles (deg): 73.15 73.15 60.00
Fractional positions:
Pt 0.412 0.921 0.255
Pt 0.500 0.500 0.500
Pt 0.588 0.588 0.745
Pt 0.667 0.667 0.998
Pt 0.588 0.079 0.745
Pt 0.412 0.412 0.255
Pt 0.079 0.588 0.745
Pt 0.333 0.333 0.002
Pt 0.921 0.412 0.255
Au 0.000 0.000 0.000
Th 0.868 0.868 0.396
Th 0.132 0.132 0.604

Arrangement B

The following is a DFT calculation (GGA-PBE) of crystalline Th2Pt9Au at its relaxed geometry.

a b c (Å): 4.198 4.198 12.324
angles (deg): 90.00 90.00 90.00
Fractional positions:
Pt 0.500 0.000 0.500
Pt 0.500 0.500 0.329
Pt 0.500 0.500 0.000
Pt 0.500 0.000 0.842
Pt 0.000 0.500 0.500
Pt 0.500 0.000 0.158
Pt 0.500 0.500 0.671
Pt 0.000 0.500 0.842
Pt 0.000 0.500 0.158
Th 0.000 0.000 0.324
Th 0.000 0.000 0.676
Au 0.000 0.000 0.000

Which of them is least stable? Easy: arrangement A.

Arrangement A

The following is a DFT calculation (GGA-PBE) of crystalline TmThPtAu at its relaxed geometry.

a b c (Å): 3.853 4.424 5.969
angles (deg): 90.00 108.83 90.00
Fractional positions:
Au 0.590 0.500 0.180
Pt 0.401 0.000 0.803
Th 0.866 0.500 0.732
Tm 0.142 0.000 0.285

Arrangement B

The following is a DFT calculation (GGA-PBE) of crystalline TmThPtAu at its relaxed geometry.

a b c (Å): 5.093 5.093 5.093
angles (deg): 60.00 60.00 60.00
Fractional positions:
Th 0.000 0.000 0.000
Au 0.250 0.250 0.250
Tm 0.500 0.500 0.500
Pt 0.750 0.750 0.750

Which of them is least stable? Easy: arrangement B.

Arrangement A

The following is a DFT calculation (GGA-PBE) of crystalline YThPtAu at its relaxed geometry.

a b c (Å): 5.124 5.124 5.124
angles (deg): 60.00 60.00 60.00
Fractional positions:
Y 0.500 0.500 0.500
Pt 0.750 0.750 0.750
Au 0.250 0.250 0.250
Th 0.000 0.000 0.000

Arrangement B

The following is a DFT calculation (GGA-PBE) of crystalline YThPtAu at its relaxed geometry.

a b c (Å): 3.873 4.446 6.020
angles (deg): 90.00 108.76 90.00
Fractional positions:
Au 0.589 0.500 0.177
Y 0.142 0.000 0.285
Th 0.867 0.500 0.734
Pt 0.402 0.000 0.804

Which of them is least stable? Easy: arrangement A.

Arrangement A

The following is a DFT calculation (GGA-PBE) of crystalline ThZnPtAu at its relaxed geometry.

a b c (Å): 4.915 4.915 4.915
angles (deg): 60.00 60.00 60.00
Fractional positions:
Pt 0.750 0.750 0.750
Zn 0.500 0.500 0.500
Au 0.250 0.250 0.250
Th 0.000 0.000 0.000

Arrangement B

The following is a DFT calculation (GGA-PBE) of crystalline ThZnPtAu at its relaxed geometry.

a b c (Å): 4.532 4.526 5.414
angles (deg): 114.61 90.00 120.04
Fractional positions:
Pt 0.400 0.800 0.841
Th 0.622 0.243 0.507
Au 0.840 0.681 0.164
Zn 0.104 0.209 0.955

Which of them is least stable? Easy: arrangement A.